The following is a DFT calculation (GGA+U) of crystalline KLaW2O8 at its relaxed geometry.

It has space group I-4m2 (No. 119), with a = 7.850 Å, b = 7.850 Å, c = 6.901 Å, α = 90.00°, β = 90.00° and γ = 90.00°. The distinct sites, in fractional coordinates, are K at (0.000, 0.000, 0.000), La at (0.000, 0.500, 0.250), W at (0.000, 0.000, 0.500), W at (0.000, 0.500, 0.750), O at (0.000, 0.190, 0.349) and O at (0.000, 0.325, 0.923).

The value obtained for the raw total energy is -176.50 eV/cell. As for the calculated density: 5260 kg/m³.